Record 1
A plane-wave DFT calculation with PBE was carried out for crystalline Tb2NdSi4Au4 at its relaxed geometry.

## Properties
Mass density: 10066 kg/m3
Energy: -5.1590 eV/atom

a = 12.9390 Å, b = 12.9390 Å, c = 12.9390 Å
α = 161.31°, β = 161.10°, γ = 26.70°
Closest atoms and distances in Å follow each position.
Atoms (fractional coordinates):
Nd (0.5000, 0.0000, 0.5000)  4 Au 3.19, 8 Si 3.22
Si (0.0472, 0.5472, 0.5000)  1 Si 2.38, 2 Au 2.45
Au (0.2493, 0.7493, 0.5000)  4 Si 2.58-2.59
Si (0.3091, 0.3091, 0.0000)  5 Au 2.40-2.59
Tb (0.1482, 0.1482, 0.0000)  6 Si 3.17-3.30, 8 Au 3.27-3.34
Tb (0.8518, 0.8518, 0.0000)  6 Si 3.17-3.30, 8 Au 3.27-3.34
Au (0.7507, 0.2507, 0.5000)  4 Si 2.58-2.59
Si (0.6909, 0.6909, 0.0000)  5 Au 2.40-2.59
Au (0.5955, 0.5955, 0.0000)  3 Si 2.40-2.45
Au (0.4045, 0.4045, 0.0000)  3 Si 2.40-2.45
Si (0.9528, 0.4528, 0.5000)  1 Si 2.38, 2 Au 2.45

=====

Record 2
A plane-wave DFT calculation with PBE was carried out for crystalline PrIrPb2O6 at its relaxed geometry.

## Properties
Mass density: 9493 kg/m3
Energy: -6.5648 eV/atom

a = 5.8075 Å, b = 5.8075 Å, c = 6.0514 Å
α = 118.89°, β = 118.89°, γ = 60.77°
Closest atoms and distances in Å follow each position.
Atoms (fractional coordinates):
Pb (0.2432, 0.2432, 0.2152)  5 O 2.51-2.67
O (0.7970, 0.3272, 0.8370)  1 Ir 1.99
O (0.2784, 0.2784, 0.6855)  1 Ir 1.95
O (0.6728, 0.2030, 0.1630)  1 Ir 1.99
O (0.3272, 0.7970, 0.8370)  1 Ir 1.99
O (0.2030, 0.6728, 0.1630)  1 Ir 1.99
Ir (0.5000, 0.5000, 0.0000)  6 O 1.95-1.99
Pr (0.0000, 0.0000, 0.5000)  6 O 2.35-2.36
Pb (0.7568, 0.7568, 0.7848)  5 O 2.51-2.67
O (0.7216, 0.7216, 0.3145)  1 Ir 1.95

=====

Copy entry 1 word for word.
A plane-wave DFT calculation with PBE was carried out for crystalline Tb2NdSi4Au4 at its relaxed geometry.

## Properties
Mass density: 10066 kg/m3
Energy: -5.1590 eV/atom

a = 12.9390 Å, b = 12.9390 Å, c = 12.9390 Å
α = 161.31°, β = 161.10°, γ = 26.70°
Closest atoms and distances in Å follow each position.
Atoms (fractional coordinates):
Nd (0.5000, 0.0000, 0.5000)  4 Au 3.19, 8 Si 3.22
Si (0.0472, 0.5472, 0.5000)  1 Si 2.38, 2 Au 2.45
Au (0.2493, 0.7493, 0.5000)  4 Si 2.58-2.59
Si (0.3091, 0.3091, 0.0000)  5 Au 2.40-2.59
Tb (0.1482, 0.1482, 0.0000)  6 Si 3.17-3.30, 8 Au 3.27-3.34
Tb (0.8518, 0.8518, 0.0000)  6 Si 3.17-3.30, 8 Au 3.27-3.34
Au (0.7507, 0.2507, 0.5000)  4 Si 2.58-2.59
Si (0.6909, 0.6909, 0.0000)  5 Au 2.40-2.59
Au (0.5955, 0.5955, 0.0000)  3 Si 2.40-2.45
Au (0.4045, 0.4045, 0.0000)  3 Si 2.40-2.45
Si (0.9528, 0.4528, 0.5000)  1 Si 2.38, 2 Au 2.45

=====

Please write out number 1 again, unchanged.
A plane-wave DFT calculation with PBE was carried out for crystalline Tb2NdSi4Au4 at its relaxed geometry.

## Properties
Mass density: 10066 kg/m3
Energy: -5.1590 eV/atom

a = 12.9390 Å, b = 12.9390 Å, c = 12.9390 Å
α = 161.31°, β = 161.10°, γ = 26.70°
Closest atoms and distances in Å follow each position.
Atoms (fractional coordinates):
Nd (0.5000, 0.0000, 0.5000)  4 Au 3.19, 8 Si 3.22
Si (0.0472, 0.5472, 0.5000)  1 Si 2.38, 2 Au 2.45
Au (0.2493, 0.7493, 0.5000)  4 Si 2.58-2.59
Si (0.3091, 0.3091, 0.0000)  5 Au 2.40-2.59
Tb (0.1482, 0.1482, 0.0000)  6 Si 3.17-3.30, 8 Au 3.27-3.34
Tb (0.8518, 0.8518, 0.0000)  6 Si 3.17-3.30, 8 Au 3.27-3.34
Au (0.7507, 0.2507, 0.5000)  4 Si 2.58-2.59
Si (0.6909, 0.6909, 0.0000)  5 Au 2.40-2.59
Au (0.5955, 0.5955, 0.0000)  3 Si 2.40-2.45
Au (0.4045, 0.4045, 0.0000)  3 Si 2.40-2.45
Si (0.9528, 0.4528, 0.5000)  1 Si 2.38, 2 Au 2.45

=====

- What is the mass density in the second record?
  9493 kg/m3